(1)
VASP calculation (PBE-GGA) on a geometry-optimized KZr2Ti structure.

Its formation energy from the elements is 1.03 eV per atom. Its final energy is -5.4954 eV/atom. The value obtained for the density of states at the Fermi level is 1.4009 states/eV/atom.

a = 7.3420 Å, b = 7.3420 Å, c = 7.3420 Å
α = 90.00°, β = 90.00°, γ = 90.00°
Last column: nearest neighbours and their distance in Å.
Space group Fm-3m (No. 225)
Symmetry-distinct sites (fractional):
K (0.0000, 0.0000, 0.0000) x4  8 Zr 3.18
Zr (0.2500, 0.2500, 0.2500) x8  4 K 3.18, 4 Ti 3.18
Ti (0.0000, 0.0000, 0.5000) x4  8 Zr 3.18



(2)
VASP calculation (PBE-GGA) on a geometry-optimized CeTmGa structure.

Its formation energy from the elements is -0.25 eV per atom. Its final energy is -4.7310 eV/atom. The value obtained for the density of states at the Fermi level is 1.5585 states/eV/atom.

a = 9.9112 Å, b = 3.5410 Å, c = 8.7378 Å
α = 90.00°, β = 101.98°, γ = 90.00°
Last column: nearest neighbours and their distance in Å.
Space group C2/m (No. 12)
Symmetry-distinct sites (fractional):
Ce (0.1429, 0.0000, 0.4423) x4  2 Ce 2.79
Tm (0.1617, 0.5000, 0.1151) x4  4 Ga 2.99-3.17
Ga (0.1014, 0.5000, 0.7438) x4  4 Tm 2.99-3.17, 5 Ce 3.16-3.28



(3)
VASP calculation (PBE-GGA) on a geometry-optimized CrSnN2 structure.

The value obtained for the raw formation energy is 0.08 eV/atom. Its final energy is -7.4861 eV/atom. The value obtained for the density of states at the Fermi level is 0.4479 states/eV/atom.

a = 5.2625 Å, b = 2.9821 Å, c = 6.7183 Å
α = 90.00°, β = 104.70°, γ = 90.00°
Last column: nearest neighbours and their distance in Å.
Space group Cm (No. 8)
Symmetry-distinct sites (fractional):
Cr (0.0000, 0.0000, 0.0000) x2  3 N 1.85-1.91
Sn (0.4518, 0.0000, 0.4985) x2  2 N 2.22-2.24
N (0.0627, 0.5000, 0.8401) x2  2 Cr 1.91
N (0.3457, 0.0000, 0.1532) x2  1 Cr 1.85



(4)
VASP calculation (PBE-GGA) on a geometry-optimized TePtI2 structure.

The value obtained for the raw formation energy is 0.80 eV/atom. Its final energy is -2.2743 eV/atom. The value obtained for the density of states at the Fermi level is 0.6626 states/eV/atom.

a = 7.4910 Å, b = 7.4910 Å, c = 7.4910 Å
α = 90.00°, β = 90.00°, γ = 90.00°
Last column: nearest neighbours and their distance in Å.
Space group Fm-3m (No. 225)
Symmetry-distinct sites (fractional):
Te (0.0000, 0.0000, 0.0000) x4  8 I 3.24
Pt (0.0000, 0.0000, 0.5000) x4  8 I 3.24
I (0.2500, 0.2500, 0.2500) x8  4 Te 3.24, 4 Pt 3.24



(5)
VASP calculation (PBE-GGA) on a geometry-optimized PrNd2Th3S6 structure.

The value obtained for the raw formation energy is -1.92 eV/atom. Its final energy is -7.0284 eV/atom. The value obtained for the density of states at the Fermi level is 0.6781 states/eV/atom.

a = 17.7608 Å, b = 4.0645 Å, c = 8.1138 Å
α = 90.00°, β = 104.09°, γ = 90.00°
Last column: nearest neighbours and their distance in Å.
Space group C2/m (No. 12)
Symmetry-distinct sites (fractional):
Pr (0.0000, 0.0000, 0.0000) x2  6 S 2.88-2.89
Nd (0.1669, 0.5000, 0.3334) x4  6 S 2.87
Th (0.0000, 0.0000, 0.5000) x2  6 S 2.86-2.87
Th (0.1662, 0.5000, 0.8329) x4  6 S 2.86-2.87
S (0.0003, 0.5000, 0.2525) x4  3 Th 2.86-2.87, 1 Nd 2.87, 2 Pr 2.88
S (0.1665, 0.0000, 0.5835) x4  3 Th 2.87, 3 Nd 2.87
S (0.1677, 0.0000, 0.0832) x4  3 Th 2.86-2.87, 2 Nd 2.87, 1 Pr 2.89



(6)
VASP calculation (PBE-GGA) on a geometry-optimized CePu2S4 structure.

The value obtained for the raw formation energy is -1.83 eV/atom. Its final energy is -9.1264 eV/atom. The value obtained for the density of states at the Fermi level is 2.8186 states/eV/atom.

a = 3.9337 Å, b = 13.0786 Å, c = 13.0589 Å
α = 90.00°, β = 90.00°, γ = 90.00°
Last column: nearest neighbours and their distance in Å.
Space group Cmcm (No. 63)
Symmetry-distinct sites (fractional):
Ce (0.0000, 0.1184, 0.2500) x4  6 S 2.79-2.94
Pu (0.0000, 0.3675, 0.0665) x8  6 S 2.73-2.78
S (0.0000, 0.0000, 0.0000) x4  4 Pu 2.76
S (0.0000, 0.2719, 0.6235) x8  3 Pu 2.78, 2 Ce 2.94
S (0.0000, 0.4666, 0.2500) x4  2 Pu 2.73, 2 Ce 2.79



(7)
VASP calculation (PBE-GGA) on a geometry-optimized NbHW structure.

Its final energy is -8.8279 eV/atom. The value obtained for the density of states at the Fermi level is 0.2860 states/eV/atom.

a = 4.7345 Å, b = 9.4346 Å, c = 3.3128 Å
α = 90.00°, β = 90.00°, γ = 90.00°
Last column: nearest neighbours and their distance in Å.
Space group Ima2 (No. 46)
Symmetry-distinct sites (fractional):
Nb (0.2500, 0.1277, 0.0000) x4  2 H 1.97
H (0.0000, 0.0000, 0.6932) x4  2 W 1.88, 2 Nb 1.97
W (0.2500, 0.6364, 0.9867) x4  2 H 1.88



(8)
VASP calculation (PBE-GGA) on a geometry-optimized SiSb2P structure.

The value obtained for the raw formation energy is 0.40 eV/atom. Its final energy is -4.3710 eV/atom. The value obtained for the density of states at the Fermi level is 0.4333 states/eV/atom.

a = 7.6785 Å, b = 7.6785 Å, c = 6.1145 Å
α = 90.00°, β = 90.00°, γ = 90.00°
Last column: nearest neighbours and their distance in Å.
Space group I-42d (No. 122)
Symmetry-distinct sites (fractional):
Si (0.0000, 0.0000, 0.0000) x4  4 Sb 2.80, 2 P 3.06
Sb (0.2470, 0.2500, 0.1250) x8  2 Si 2.80, 2 P 2.84, 2 Sb 3.06
P (0.0000, 0.0000, 0.5000) x4  4 Sb 2.84, 2 Si 3.06



(9)
VASP calculation (PBE-GGA) on a geometry-optimized Nd4TlSnH structure.

Its final energy is -4.6017 eV/atom. The value obtained for the density of states at the Fermi level is 0.8930 states/eV/atom.

a = 6.6610 Å, b = 17.5971 Å, c = 6.6389 Å
α = 90.00°, β = 90.00°, γ = 90.00°
Last column: nearest neighbours and their distance in Å.
Space group Cmcm (No. 63)
Symmetry-distinct sites (fractional):
Nd (0.0000, 0.0701, 0.2500) x4  1 H 2.41
Nd (0.0000, 0.4286, 0.2500) x4  3 Sn 3.24-3.40, 2 Tl 3.41
Nd (0.2500, 0.2500, 0.0000) x8  2 H 2.47
Tl (0.0000, 0.1128, 0.7500) x4  9 Nd 3.22-3.41
Sn (0.0000, 0.3872, 0.7500) x4  9 Nd 3.24-3.41
H (0.0000, 0.2072, 0.2500) x4  5 Nd 2.41-2.47



(10)
VASP calculation (PBE-GGA) on a geometry-optimized RbVZnSn2 structure.

Its formation energy from the elements is 0.13 eV per atom. Its final energy is -3.7419 eV/atom. The value obtained for the density of states at the Fermi level is 0.5790 states/eV/atom.

a = 5.2090 Å, b = 5.2090 Å, c = 5.2853 Å
α = 90.00°, β = 90.00°, γ = 90.00°
Last column: nearest neighbours and their distance in Å.
Space group P4/mmm (No. 123)
Symmetry-distinct sites (fractional):
Rb (0.0000, 0.0000, 0.0000) x1  4 Zn 3.68, 8 Sn 3.71
V (0.5000, 0.5000, 0.5000) x1  4 Sn 2.60, 2 Zn 2.64
Zn (0.5000, 0.5000, 0.0000) x1  2 V 2.64
Sn (0.0000, 0.5000, 0.5000) x2  2 V 2.60



(11)
VASP calculation (PBE-GGA) on a geometry-optimized SrMg4 structure.

Its formation energy from the elements is 0.98 eV per atom. Its final energy is -0.6329 eV/atom. The value obtained for the density of states at the Fermi level is 0.8562 states/eV/atom.

a = 6.3933 Å, b = 6.3933 Å, c = 6.3933 Å
α = 90.00°, β = 90.00°, γ = 90.00°
Last column: nearest neighbours and their distance in Å.
Space group Pm-3m (No. 221)
Symmetry-distinct sites (fractional):
Sr (0.0000, 0.0000, 0.0000) x1  6 Mg 3.20
Mg (0.0000, 0.0000, 0.5000) x3  2 Sr 3.20
Mg (0.5000, 0.5000, 0.5000) x1  12 Mg 4.52



(12)
VASP calculation (PBE-GGA) on a geometry-optimized Cs3I2O6 structure.

The value obtained for the raw formation energy is -0.83 eV/atom. Its final energy is -4.0503 eV/atom. The value obtained for the density of states at the Fermi level is 0.1954 states/eV/atom.

a = 4.3942 Å, b = 4.3942 Å, c = 24.7799 Å
α = 90.00°, β = 90.00°, γ = 90.00°
Last column: nearest neighbours and their distance in Å.
Space group I4/mmm (No. 139)
Symmetry-distinct sites (fractional):
Cs (0.0000, 0.0000, 0.0000) x2  8 O 3.23
Cs (0.0000, 0.0000, 0.1885) x4  9 O 3.12-3.31
I (0.0000, 0.0000, 0.3973) x4  1 O 1.86
O (0.0000, 0.0000, 0.3222) x4  1 I 1.86
O (0.0000, 0.5000, 0.0953) x8  2 I 2.20



(13)
VASP calculation (PBE-GGA) on a geometry-optimized Ba3YN3 structure.

The value obtained for the raw formation energy is -0.46 eV/atom. Its final energy is -5.7710 eV/atom. The value obtained for the density of states at the Fermi level is 0.5837 states/eV/atom.

a = 8.5977 Å, b = 8.5977 Å, c = 5.8766 Å
α = 90.00°, β = 90.00°, γ = 120.00°
Last column: nearest neighbours and their distance in Å.
Space group P6_3/m (No. 176)
Symmetry-distinct sites (fractional):
Ba (0.0897, 0.3402, 0.2500) x6  2 N 2.62-2.89
Y (0.3333, 0.6667, 0.7500) x2  3 N 2.23
N (0.1195, 0.3780, 0.7500) x6  1 Y 2.23



(14)
VASP calculation (PBE-GGA) on a geometry-optimized HfAsWI2 structure.

The value obtained for the raw formation energy is 1.44 eV/atom. Its final energy is -4.6948 eV/atom. The value obtained for the density of states at the Fermi level is 0.5339 states/eV/atom.

a = 5.4852 Å, b = 5.4852 Å, c = 5.4493 Å
α = 90.00°, β = 90.00°, γ = 90.00°
Last column: nearest neighbours and their distance in Å.
Space group P4/mmm (No. 123)
Symmetry-distinct sites (fractional):
Hf (0.0000, 0.0000, 0.0000) x1  2 W 2.72, 4 I 2.74
As (0.5000, 0.5000, 0.5000) x1  8 I 3.87, 4 W 3.88
W (0.0000, 0.0000, 0.5000) x1  2 Hf 2.72
I (0.0000, 0.5000, 0.0000) x2  2 Hf 2.74



(15)
VASP calculation (PBE-GGA) on a geometry-optimized TlGaO2 structure.

The value obtained for the raw formation energy is -1.09 eV/atom. Its final energy is -4.9213 eV/atom. The value obtained for the density of states at the Fermi level is 0.0000 states/eV/atom.

a = 3.6091 Å, b = 21.6654 Å, c = 3.8117 Å
α = 90.00°, β = 90.00°, γ = 90.00°
Last column: nearest neighbours and their distance in Å.
Space group Cmcm (No. 63)
Symmetry-distinct sites (fractional):
Tl (0.0000, 0.1793, 0.2500) x4  4 O 2.78
Ga (0.0000, 0.4464, 0.2500) x4  4 O 1.79-1.94
O (0.0000, 0.3636, 0.2500) x4  1 Ga 1.79
O (0.0000, 0.4643, 0.7500) x4  3 Ga 1.94



(16)
VASP calculation (PBE-GGA) on a geometry-optimized HfAl3H structure.

Its final energy is -3.4290 eV/atom. The value obtained for the density of states at the Fermi level is 1.1694 states/eV/atom.

a = 5.3946 Å, b = 5.3946 Å, c = 5.3946 Å
α = 90.00°, β = 90.00°, γ = 90.00°
Last column: nearest neighbours and their distance in Å.
Space group Pm-3m (No. 221)
Symmetry-distinct sites (fractional):
Hf (0.0000, 0.0000, 0.0000) x1  6 Al 2.70
Al (0.0000, 0.0000, 0.5000) x3  2 Hf 2.70
H (0.5000, 0.5000, 0.5000) x1  12 Al 3.81



(17)
VASP calculation (PBE-GGA) on a geometry-optimized CaNbGe structure.

Its formation energy from the elements is -0.11 eV per atom. Its final energy is -5.6730 eV/atom. The value obtained for the density of states at the Fermi level is 0.6155 states/eV/atom.

a = 11.8660 Å, b = 3.6512 Å, c = 7.8819 Å
α = 90.00°, β = 128.18°, γ = 90.00°
Last column: nearest neighbours and their distance in Å.
Space group Cm (No. 8)
Symmetry-distinct sites (fractional):
Ca (0.0000, 0.0000, 0.0000) x2  3 Ge 2.97-3.05
Ca (0.2401, 0.0000, 0.5595) x2  2 Ge 2.85
Nb (0.0504, 0.5000, 0.6755) x2  3 Ge 2.65-2.71, 2 Nb 2.92
Nb (0.3536, 0.5000, 0.3201) x2  4 Ge 2.65-2.88, 2 Nb 2.92
Ge (0.0086, 0.5000, 0.3042) x2  1 Ge 2.58, 3 Nb 2.65, 2 Ca 2.85
Ge (0.2424, 0.0000, 0.9661) x2  1 Ge 2.58, 4 Nb 2.71-2.88



(18)
VASP calculation (PBE-GGA) on a geometry-optimized Y2Tc2Os structure.

Its formation energy from the elements is 0.01 eV per atom. Its final energy is -8.9694 eV/atom. The value obtained for the density of states at the Fermi level is 1.0083 states/eV/atom.

a = 6.5815 Å, b = 6.5815 Å, c = 4.7147 Å
α = 90.00°, β = 90.00°, γ = 90.00°
Last column: nearest neighbours and their distance in Å.
Space group P4/mbm (No. 127)
Symmetry-distinct sites (fractional):
Y (0.1804, 0.3196, 0.0000) x4  6 Tc 2.94-3.14
Tc (0.1309, 0.6309, 0.5000) x4  1 Tc 2.44, 2 Os 2.58
Os (0.0000, 0.0000, 0.5000) x2  4 Tc 2.58



(19)
VASP calculation (PBE-GGA) on a geometry-optimized Tb8Er2Th structure.

Its formation energy from the elements is 0.18 eV per atom. Its final energy is -4.6871 eV/atom. The value obtained for the density of states at the Fermi level is 1.6908 states/eV/atom.

a = 19.1857 Å, b = 6.8425 Å, c = 5.5491 Å
α = 90.00°, β = 93.47°, γ = 90.00°
Last column: nearest neighbours and their distance in Å.
Space group C2/m (No. 12)
Symmetry-distinct sites (fractional):
Tb (0.0472, 0.0000, 0.2346) x4  1 Tb 3.08, 1 Er 3.25
Tb (0.1320, 0.2371, 0.7297) x8  5 Tb 3.24-3.60, 3 Er 3.41-3.62, 1 Th 3.52
Tb (0.1861, 0.5000, 0.2270) x4  4 Er 3.34-3.47, 4 Tb 3.40-3.53, 1 Th 3.71
Er (0.2167, 0.0000, 0.2532) x4  11 Tb 3.25-3.62
Th (0.0000, 0.5000, 0.0000) x2  10 Tb 3.52-3.75



(20)
VASP calculation (PBE-GGA) on a geometry-optimized Cs2ScUS6 structure.

The value obtained for the raw formation energy is -1.31 eV/atom. Its final energy is -5.7174 eV/atom. The value obtained for the density of states at the Fermi level is 0.6352 states/eV/atom.

a = 10.3202 Å, b = 10.3202 Å, c = 10.3202 Å
α = 90.00°, β = 90.00°, γ = 90.00°
Last column: nearest neighbours and their distance in Å.
Space group Fm-3m (No. 225)
Symmetry-distinct sites (fractional):
Cs (0.2500, 0.2500, 0.2500) x8  12 S 3.65
Sc (0.0000, 0.0000, 0.0000) x4  6 S 2.60
U (0.0000, 0.0000, 0.5000) x4  6 S 2.56
S (0.0000, 0.0000, 0.2521) x24  1 U 2.56, 1 Sc 2.60



(21)
VASP calculation (PBE-GGA) on a geometry-optimized BaPtS2Cl structure.

The value obtained for the raw formation energy is -0.94 eV/atom. Its final energy is -4.5534 eV/atom. The value obtained for the density of states at the Fermi level is 0.9434 states/eV/atom.

a = 4.8488 Å, b = 4.8488 Å, c = 5.0175 Å
α = 90.00°, β = 90.00°, γ = 90.00°
Last column: nearest neighbours and their distance in Å.
Space group P4/mmm (No. 123)
Symmetry-distinct sites (fractional):
Ba (0.0000, 0.0000, 0.0000) x1  4 Cl 3.43, 8 S 3.49
Pt (0.5000, 0.5000, 0.5000) x1  4 S 2.42, 2 Cl 2.51
S (0.0000, 0.5000, 0.5000) x2  2 Pt 2.42
Cl (0.5000, 0.5000, 0.0000) x1  2 Pt 2.51



(22)
VASP calculation (PBE-GGA) on a geometry-optimized Li3HW structure.

Its final energy is -3.5819 eV/atom. The value obtained for the density of states at the Fermi level is 0.6706 states/eV/atom.

a = 4.0007 Å, b = 4.0007 Å, c = 4.0007 Å
α = 90.00°, β = 90.00°, γ = 90.00°
Last column: nearest neighbours and their distance in Å.
Space group Pm-3m (No. 221)
Symmetry-distinct sites (fractional):
Li (0.0000, 0.0000, 0.5000) x3  2 H 2.00
H (0.0000, 0.0000, 0.0000) x1  6 Li 2.00
W (0.5000, 0.5000, 0.5000) x1  12 Li 2.83



(23)
VASP calculation (PBE-GGA) on a geometry-optimized KNaTa2Tc structure.

Its formation energy from the elements is 1.24 eV per atom. Its final energy is -6.0601 eV/atom. The value obtained for the density of states at the Fermi level is 0.7054 states/eV/atom.

a = 4.8260 Å, b = 4.8260 Å, c = 6.3543 Å
α = 90.00°, β = 90.00°, γ = 90.00°
Last column: nearest neighbours and their distance in Å.
Space group P4/mmm (No. 123)
Symmetry-distinct sites (fractional):
K (0.0000, 0.0000, 0.0000) x1  2 Tc 3.18, 4 Na 3.41
Na (0.5000, 0.5000, 0.0000) x1  4 K 3.41
Ta (0.0000, 0.5000, 0.5000) x2  2 Tc 2.41
Tc (0.0000, 0.0000, 0.5000) x1  4 Ta 2.41



(24)
VASP calculation (PBE-GGA) on a geometry-optimized LiAgS2 structure.

The value obtained for the raw formation energy is -0.11 eV/atom. Its final energy is -3.3647 eV/atom. The value obtained for the density of states at the Fermi level is 0.5554 states/eV/atom.

a = 3.1654 Å, b = 3.1654 Å, c = 24.4897 Å
α = 90.00°, β = 90.00°, γ = 120.00°
Last column: nearest neighbours and their distance in Å.
Space group R-3m (No. 166, hexagonal axes)
Symmetry-distinct sites (fractional):
Li (0.0000, 0.0000, 0.0000) x3  6 S 2.50
Ag (0.0000, 0.0000, 0.5000) x3  2 S 2.37
S (0.0000, 0.0000, 0.4031) x6  1 Ag 2.37, 3 Li 2.50